# 1
# CaInHg2 PBE-GGA relaxed
data_CaInHg2
_cell_length_a 4.775
_cell_length_b 3.701
_cell_length_c 6.301
_cell_angle_alpha 73.46
_cell_angle_beta 90.00
_cell_angle_gamma 90.00
_symmetry_space_group_name_H-M 'P 1'
_symmetry_Int_Tables_number 1
_symmetry_space_group_name_Hall 'P 1'
loop_
_atom_site_label
_atom_site_fract_x
_atom_site_fract_y
_atom_site_fract_z
_atom_site_occupancy
Hg1 0.000 0.194 0.975 1
Hg2 0.500 0.062 0.274 1
In1 0.000 0.462 0.451 1
Ca1 0.500 0.783 0.799 1
# E_form: -0.288 eV/atom
# Total magnetization: 0.0 μB per cell
# DOS at the Fermi energy: 2.0 states/eV per cell



# 2
# Ca3In2Hg PBE-GGA relaxed
data_Ca3In2Hg
_cell_length_a 3.847
_cell_length_b 3.847
_cell_length_c 11.426
_cell_angle_alpha 90.00
_cell_angle_beta 90.00
_cell_angle_gamma 90.00
_symmetry_space_group_name_H-M 'P 1'
_symmetry_Int_Tables_number 1
_symmetry_space_group_name_Hall 'P 1'
loop_
_atom_site_label
_atom_site_fract_x
_atom_site_fract_y
_atom_site_fract_z
_atom_site_occupancy
In1 0.500 0.500 0.167 1
In2 0.500 0.500 0.833 1
Ca1 0.000 0.000 0.338 1
Ca2 0.000 0.000 0.000 1
Ca3 0.000 0.000 0.662 1
Hg1 0.500 0.500 0.500 1
# E_form: -0.504 eV/atom
# Total magnetization: 0.0 μB per cell
# DOS at the Fermi energy: 2.8 states/eV per cell



# 3
# Ca2InHg8 PBE-GGA relaxed
data_Ca2InHg8
_cell_length_a 5.007
_cell_length_b 6.963
_cell_length_c 8.961
_cell_angle_alpha 105.80
_cell_angle_beta 106.22
_cell_angle_gamma 90.00
_symmetry_space_group_name_H-M 'P 1'
_symmetry_Int_Tables_number 1
_symmetry_space_group_name_Hall 'P 1'
loop_
_atom_site_label
_atom_site_fract_x
_atom_site_fract_y
_atom_site_fract_z
_atom_site_occupancy
Hg1 0.395 0.568 0.790 1
Hg2 0.838 0.815 0.677 1
Hg3 0.343 0.105 0.686 1
Hg4 0.978 0.270 0.955 1
Hg5 0.162 0.185 0.323 1
Hg6 0.605 0.432 0.210 1
Hg7 0.657 0.895 0.314 1
Hg8 0.022 0.730 0.045 1
Ca1 0.211 0.677 0.422 1
Ca2 0.789 0.323 0.578 1
In1 0.500 0.000 0.000 1
# E_form: -0.254 eV/atom
# Total magnetization: 0.0 μB per cell
# DOS at the Fermi energy: 3.9 states/eV per cell



# 4
# Ca3In3Hg2 PBE-GGA relaxed
data_Ca3In3Hg2
_cell_length_a 3.888
_cell_length_b 8.101
_cell_length_c 8.101
_cell_angle_alpha 120.00
_cell_angle_beta 90.00
_cell_angle_gamma 90.00
_symmetry_space_group_name_H-M 'P 1'
_symmetry_Int_Tables_number 1
_symmetry_space_group_name_Hall 'P 1'
loop_
_atom_site_label
_atom_site_fract_x
_atom_site_fract_y
_atom_site_fract_z
_atom_site_occupancy
Ca1 0.500 0.399 0.399 1
Ca2 0.500 0.000 0.601 1
Ca3 0.500 0.601 0.000 1
Hg1 0.000 0.667 0.333 1
Hg2 0.000 0.333 0.667 1
In1 0.000 0.229 0.000 1
In2 0.000 0.771 0.771 1
In3 0.000 0.000 0.229 1
# E_form: -0.426 eV/atom
# Total magnetization: 0.0 μB per cell
# DOS at the Fermi energy: 5.3 states/eV per cell



# 5
# K2CaIn3Hg12 PBE-GGA relaxed
data_K2CaIn3Hg12
_cell_length_a 8.159
_cell_length_b 8.159
_cell_length_c 8.159
_cell_angle_alpha 84.90
_cell_angle_beta 84.90
_cell_angle_gamma 84.90
_symmetry_space_group_name_H-M 'P 1'
_symmetry_Int_Tables_number 1
_symmetry_space_group_name_Hall 'P 1'
loop_
_atom_site_label
_atom_site_fract_x
_atom_site_fract_y
_atom_site_fract_z
_atom_site_occupancy
Hg1 0.800 0.800 0.286 1
Hg2 0.286 0.800 0.800 1
Hg3 0.407 0.407 0.885 1
Hg4 0.714 0.200 0.200 1
Hg5 0.593 0.115 0.593 1
Hg6 0.593 0.593 0.115 1
Hg7 0.407 0.885 0.407 1
Hg8 0.115 0.593 0.593 1
Hg9 0.200 0.200 0.714 1
Hg10 0.200 0.714 0.200 1
Hg11 0.800 0.286 0.800 1
Hg12 0.885 0.407 0.407 1
In1 0.000 0.000 0.500 1
In2 0.500 0.000 0.000 1
In3 0.000 0.500 0.000 1
K1 0.304 0.304 0.304 1
K2 0.696 0.696 0.696 1
Ca1 0.000 0.000 0.000 1
# E_form: -0.094 eV/atom
# Total magnetization: 0.0 μB per cell
# DOS at the Fermi energy: 6.8 states/eV per cell



# 6
# CaLaInHg PBE-GGA relaxed
data_CaLaInHg
_cell_length_a 5.502
_cell_length_b 5.502
_cell_length_c 5.502
_cell_angle_alpha 60.00
_cell_angle_beta 60.00
_cell_angle_gamma 60.00
_symmetry_space_group_name_H-M 'P 1'
_symmetry_Int_Tables_number 1
_symmetry_space_group_name_Hall 'P 1'
loop_
_atom_site_label
_atom_site_fract_x
_atom_site_fract_y
_atom_site_fract_z
_atom_site_occupancy
Ca1 0.750 0.750 0.750 1
La1 0.250 0.250 0.250 1
Hg1 0.000 0.000 0.000 1
In1 0.500 0.500 0.500 1
# E_form: -0.545 eV/atom
# Total magnetization: 0.0 μB per cell
# DOS at the Fermi energy: 2.2 states/eV per cell